(1)
Mg2TcCl: relaxed, PBE.

```
Mg2TcCl
1.0
2.8827 0.0000 0.0000
0.0000 4.7072 0.0000
0.0000 0.0000 5.5839
Mg Tc Cl
2 1 1
direct
0.0000 0.0000 0.0000 Mg
0.5000 0.5000 0.3504 Mg
0.0000 0.0000 0.4837 Tc
0.5000 0.5000 0.8822 Cl
```

The calculation puts the total magnetization at 0.6 μB per formula unit. Its space-group type is Pmm2, No. 25. The value obtained for the uncorrected formation energy is 183 meV per atom. For the energy above the most stable polymorph in this dataset, the calculation gives 445.1 meV/atom. Its final energy is -3.67 eV/atom.

***

(2)
LaIrS2N: relaxed, PBE.

```
LaIrS2N
1.0
5.5098 0.0000 0.0000
0.0000 5.5098 0.0000
0.0000 0.0000 3.9544
La Ir S N
1 1 2 1
direct
0.0000 0.0000 0.0000 La
0.5000 0.5000 0.5000 Ir
0.0000 0.5000 0.0000 S
0.5000 0.0000 0.0000 S
0.0000 0.0000 0.5000 N
```

The calculation puts the total magnetization at 2.2 μB per formula unit. Its space-group type is P4/mmm, No. 123. The value obtained for the uncorrected formation energy is 1261 meV per atom. For the energy above the most stable polymorph in this dataset, the calculation gives 1988.8 meV/atom. Its final energy is -4.81 eV/atom.

***

(3)
AuBrNO2: relaxed, PBE.

```
AuBrNO2
1.0
3.6924 0.0000 0.0000
0.0000 3.6924 0.0000
0.0000 0.0000 4.8529
Au Br N O
1 1 1 2
direct
0.0000 0.0000 0.0000 Au
0.5000 0.5000 0.5000 Br
0.5000 0.5000 0.0000 N
0.0000 0.5000 0.5000 O
0.5000 0.0000 0.5000 O
```

The calculation puts the total magnetization at 0.0 μB per formula unit. Its space-group type is P4/mmm, No. 123. The value obtained for the uncorrected formation energy is 1493 meV per atom. Its final energy is -3.15 eV/atom.